# 1
InC2 | PBE | relaxed

The total energy is -17.82 eV per formula unit. The calculation puts the energy of formation from the pure elements at 1.122 eV/atom. The calculation puts the distance to the lowest polymorph of the same formula at 0.451 eV per atom. The spin magnetization is 0.00 μB per formula unit.

The structure belongs to space group Pa-3 (No. 205); the cell edges are 5.561, 5.561 and 5.561 Å and the angles 90.00°, 90.00° and 90.00°. The inequivalent atoms are In at (0.000, 0.000, 0.000) and C at (0.067, 0.567, 0.933).

# 2
In2C3 | PBE | relaxed

The total energy is -28.82 eV per formula unit. The calculation puts the energy of formation from the pure elements at 0.866 eV/atom. The calculation puts the distance to the lowest polymorph of the same formula at 0.000 eV per atom. The spin magnetization is 0.00 μB per formula unit.

The structure belongs to space group Fdd2 (No. 43); the cell edges are 10.079, 19.516 and 3.821 Å and the angles 90.00°, 90.00° and 90.00°. The inequivalent atoms are In at (0.045, 0.319, 0.000), C at (0.000, 0.000, 0.246) and C at (0.123, 0.265, 0.497).

# 3
In2C | PBE | relaxed

The total energy is -11.96 eV per formula unit. The calculation puts the energy of formation from the pure elements at 0.915 eV/atom. The spin magnetization is 0.00 μB per formula unit.

The structure belongs to space group Cmcm (No. 63); the cell edges are 3.604, 13.655 and 4.727 Å and the angles 90.00°, 90.00° and 90.00°. The inequivalent atoms are In at (0.000, 0.063, 0.250), In at (0.000, 0.300, 0.250) and C at (0.000, 0.324, 0.750).

# 4
InC | PBE | relaxed

The total energy is -9.55 eV per formula unit. The calculation puts the energy of formation from the pure elements at 1.205 eV/atom. The calculation puts the distance to the lowest polymorph of the same formula at 0.495 eV per atom. The spin magnetization is 0.00 μB per formula unit.

The structure belongs to space group P6_3/mmc (No. 194); the cell edges are 5.4502, 5.4502 and 6.2997 Å and the angles 90.00°, 90.00° and 120.00°. The inequivalent atoms are In at (0.0000, 0.0000, 0.2500), In at (0.3333, 0.6667, 0.2500) and C at (0.3333, 0.6667, 0.6490).

# 5
In2C | PBE | relaxed

The total energy is -11.98 eV per formula unit. The calculation puts the energy of formation from the pure elements at 0.906 eV/atom. The spin magnetization is 0.00 μB per formula unit.

The structure belongs to space group P4/nmm (No. 129, origin choice 2); the cell edges are 4.211, 4.211 and 7.662 Å and the angles 90.00°, 90.00° and 90.00°. The inequivalent atoms are In at (0.250, 0.250, 0.083), In at (0.250, 0.750, 0.500) and C at (0.250, 0.250, 0.370).

# 6
InC2 | PBE | relaxed

The total energy is -16.59 eV per formula unit. The calculation puts the energy of formation from the pure elements at 1.531 eV/atom. The calculation puts the distance to the lowest polymorph of the same formula at 0.860 eV per atom. The spin magnetization is 0.00 μB per formula unit.

The structure belongs to space group P4/nmm (No. 129, origin choice 2); the cell edges are 2.999, 2.999 and 9.417 Å and the angles 90.00°, 90.00° and 90.00°. The inequivalent atoms are In at (0.250, 0.250, 0.170), C at (0.250, 0.250, 0.425) and C at (0.250, 0.750, 0.500).